No. 1
First-principles (PBE) data for ZnFe2Os after structural relaxation, as listed in Alexandria.

magnetic moment	4.57	μB/f.u.
DOS(E_F)	1.01	states/eV/atom
VASP energy	-7.143	eV per atom

```
4
Lattice="4.3439 -1.3586 0.0000 4.3439 1.3586 0.0000 -0.8890 0.0000 4.3696" Properties=species:S:1:pos:R:3 pbc="T T T"
Zn 0.0000 0.0000 0.0000
Fe 1.4838 0.0000 3.2425
Fe 6.3150 0.0000 1.1271
Os 3.8994 0.0000 2.1848
```

---

No. 2
First-principles (PBE) data for Ta2TcHg after structural relaxation, as listed in Alexandria.

magnetic moment	0.00	μB/f.u.
DOS(E_F)	0.78	states/eV/atom
VASP energy	-8.337	eV per atom

```
4
Lattice="1.5408 0.8896 9.0082 -1.5408 0.8896 9.0082 0.0000 -1.7792 9.0082" Properties=species:S:1:pos:R:3 pbc="T T T"
Ta 0.0000 0.0000 0.0000
Ta 0.0000 0.0000 6.7481
Tc 0.0000 0.0000 19.9355
Hg 0.0000 0.0000 13.3074
```

---

No. 3
First-principles (PBE) data for HgBrCl2 after structural relaxation, as listed in Alexandria.

magnetic moment	1.00	μB/f.u.
DOS(E_F)	0.87	states/eV/atom
VASP energy	-1.514	eV per atom
E above lowest polymorph	0.159	eV/atom

```
8
Lattice="-4.1260 4.1260 3.4014 4.1260 -4.1260 3.4014 4.1260 4.1260 -3.4014" Properties=species:S:1:pos:R:3 pbc="T T T"
Hg 0.0000 0.0000 0.0000
Hg 0.0000 4.1260 1.7007
Br 4.1260 0.0000 1.7007
Br 0.0000 0.0000 3.4014
Cl 2.0630 1.3265 -0.8503
Cl 2.7995 -2.0630 4.2517
Cl 2.0630 2.7995 2.5510
Cl 1.3265 6.1891 0.8503
```

---

No. 4
First-principles (PBE) data for ZrCuAsN2 after structural relaxation, as listed in Alexandria.

magnetic moment	0.00	μB/f.u.
DOS(E_F)	0.60	states/eV/atom
VASP energy	-5.927	eV per atom

```
5
Lattice="3.8724 0.0000 0.0000 0.0000 3.8724 0.0000 0.0000 0.0000 4.5792" Properties=species:S:1:pos:R:3 pbc="T T T"
Zr 0.0000 0.0000 0.0000
Cu 1.9362 1.9362 2.2896
As 1.9362 1.9362 0.0000
N 0.0000 1.9362 2.2896
N 1.9362 0.0000 2.2896
```

---

No. 5
First-principles (PBE) data for Ta5Fe6 after structural relaxation, as listed in Alexandria.

magnetic moment	1.05	μB/f.u.
DOS(E_F)	0.59	states/eV/atom
VASP energy	-9.945	eV per atom

```
11
Lattice="-2.1087 3.0309 6.3323 2.1087 -3.0309 6.3323 2.1087 3.0309 -6.3323" Properties=species:S:1:pos:R:3 pbc="T T T"
Ta 0.0000 0.0000 0.0000
Ta 2.1087 0.0000 2.1379
Ta 0.0000 0.0000 4.3737
Ta 0.0000 0.0000 8.2908
Ta 0.0000 3.0309 4.1944
Fe 2.1087 -1.5359 4.1990
Fe 2.1087 1.4759 0.0000
Fe 0.0000 1.4950 2.1333
Fe 2.1087 1.5359 4.1990
Fe 0.0000 1.5550 6.3323
Fe 0.0000 4.5668 2.1333
```

---

No. 6
First-principles (PBE) data for Na4Nb3WN8 after structural relaxation, as listed in Alexandria.

magnetic moment	0.00	μB/f.u.
DOS(E_F)	0.24	states/eV/atom
VASP energy	-7.821	eV per atom

```
16
Lattice="3.1154 1.7987 5.7249 -3.1154 1.7987 5.7249 0.0000 -3.5973 5.7249" Properties=species:S:1:pos:R:3 pbc="T T T"
Na 0.0000 0.0000 0.0000
Na -1.5577 -0.8993 5.7249
Na -1.5577 0.8993 11.4498
Na 0.0000 1.7987 5.7249
Nb -3.1154 0.0000 8.5874
Nb -1.5577 0.8993 2.8625
Nb 1.5577 0.8993 2.8625
W 0.0000 0.0000 8.5874
N 0.0000 0.0000 3.9935
N -1.5176 -0.8762 9.7201
N 0.0000 -1.7523 7.4547
N -1.5176 0.8762 7.4547
N 1.5176 -0.8762 9.7201
N 0.0000 1.7523 9.7201
N 1.5176 0.8762 7.4547
N 0.0000 0.0000 13.1812
```

---

No. 7
First-principles (PBE) data for RbLaTe after structural relaxation, as listed in Alexandria.

magnetic moment	0.88	μB/f.u.
DOS(E_F)	0.76	states/eV/atom
VASP energy	-3.822	eV per atom

```
6
Lattice="4.5056 -2.5941 0.0000 4.5056 2.5941 0.0000 -2.9009 0.0000 13.4697" Properties=species:S:1:pos:R:3 pbc="T T T"
Rb -0.0058 0.0000 4.6326
Rb 6.1161 0.0000 8.8371
La 3.0035 0.0000 1.1067
La 3.1068 0.0000 12.3630
Te 0.1073 0.0000 11.2306
Te 6.0030 0.0000 2.2391
```

---

No. 8
First-principles (PBE) data for CsAg4TeSe2 after structural relaxation, as listed in Alexandria.

magnetic moment	0.00	μB/f.u.
DOS(E_F)	0.40	states/eV/atom
VASP energy	-3.132	eV per atom

```
8
Lattice="4.4350 0.0000 0.0000 0.0000 4.4350 0.0000 0.0000 0.0000 11.1391" Properties=species:S:1:pos:R:3 pbc="T T T"
Cs 0.0000 0.0000 0.0000
Ag 0.0000 2.2175 3.6164
Ag 0.0000 2.2175 7.5226
Ag 2.2175 0.0000 3.6164
Ag 2.2175 0.0000 7.5226
Te 0.0000 0.0000 5.5695
Se 2.2175 2.2175 2.1056
Se 2.2175 2.2175 9.0334
```

---

No. 9
First-principles (PBE) data for CoNiAsSe2 after structural relaxation, as listed in Alexandria.

magnetic moment	2.38	μB/f.u.
DOS(E_F)	1.37	states/eV/atom
VASP energy	-4.172	eV per atom
E above lowest polymorph	0.065	eV/atom

```
5
Lattice="4.8306 0.0000 0.0000 0.0000 4.8306 0.0000 0.0000 0.0000 4.3497" Properties=species:S:1:pos:R:3 pbc="T T T"
Co 0.0000 0.0000 0.0000
Ni 2.4153 2.4153 2.1749
As 2.4153 2.4153 0.0000
Se 0.0000 2.4153 2.1749
Se 2.4153 0.0000 2.1749
```

---

No. 10
First-principles (PBE) data for CrTeOs2 after structural relaxation, as listed in Alexandria.

magnetic moment	2.15	μB/f.u.
DOS(E_F)	0.96	states/eV/atom
VASP energy	-8.022	eV per atom

```
4
Lattice="2.8921 0.0000 0.0000 0.0000 4.7290 0.0000 -0.0091 0.0000 4.7387" Properties=species:S:1:pos:R:3 pbc="T T T"
Cr 0.0000 0.0000 0.0000
Te 1.4415 0.0000 2.3693
Os 0.7641 2.3645 3.6329
Os 2.1189 2.3645 1.1058
```

---

No. 11
First-principles (PBE) data for UMn6 after structural relaxation, as listed in Alexandria.

magnetic moment	0.02	μB/f.u.
DOS(E_F)	2.17	states/eV/atom
VASP energy	-8.592	eV per atom
E above lowest polymorph	0.827	eV/atom

```
7
Lattice="-3.0110 3.0110 3.0110 3.0110 -3.0110 3.0110 3.0110 3.0110 -3.0110" Properties=species:S:1:pos:R:3 pbc="T T T"
U 0.0000 0.0000 0.0000
Mn 3.0110 1.5055 0.0000
Mn 3.0110 0.0000 1.5055
Mn 1.5055 3.0110 0.0000
Mn 1.5055 0.0000 3.0110
Mn 0.0000 3.0110 1.5055
Mn 0.0000 1.5055 3.0110
```

---

No. 12
First-principles (PBE) data for MgZn9Ga4 after structural relaxation, as listed in Alexandria.

magnetic moment	0.00	μB/f.u.
DOS(E_F)	0.26	states/eV/atom
VASP energy	-1.737	eV per atom

```
28
Lattice="-4.4842 4.4842 6.1535 4.4842 -4.4842 6.1535 4.4842 4.4842 -6.1535" Properties=species:S:1:pos:R:3 pbc="T T T"
Mg 0.0000 0.0000 3.0768
Mg 0.0000 0.0000 9.2303
Zn 4.4842 0.0000 0.0000
Zn 7.1895 0.4233 0.0000
Zn 3.4514 -1.0328 2.1518
Zn 0.4233 1.7790 0.0000
Zn 5.5171 -1.0328 4.0017
Zn 5.5171 1.0328 2.1518
Zn 4.9076 2.7052 0.0000
Zn 3.4514 1.0328 4.0017
Zn 2.7052 4.0609 0.0000
Zn 0.0000 4.4842 0.0000
Zn 1.7790 0.4233 6.1535
Zn 1.0328 3.4514 2.1518
Zn -0.4233 1.7790 6.1535
Zn -1.0328 3.4514 4.0017
Zn -1.0328 5.5171 2.1518
Zn 4.0609 2.7052 6.1535
Zn 1.0328 5.5171 4.0017
Zn -2.7052 4.0609 6.1535
Ga 2.8131 1.6712 -1.5619
Ga 2.8131 -1.6712 4.5916
Ga 2.8131 1.6712 1.5619
Ga 2.8131 -1.6712 7.7155
Ga 1.6712 6.1554 -1.5619
Ga 1.6712 2.8131 4.5916
Ga 1.6712 6.1554 1.5619
Ga 1.6712 2.8131 7.7155
```

---

The highest VASP energy belongs to which entry? HgBrCl2

---

Which of these has the highest DOS(E_F)? UMn6

---

Look up the DOS(E_F) of the tenth one. 0.96 states/eV/atom